Here is a relaxed structure of SrCoO2 from Alexandria. Energies are from PBE with a Hubbard U.

a b c (Å): 3.0877 3.0877 19.4639
angles (deg): 90.00 90.00 120.00
Space group R-3m (No. 166, hexagonal axes)
One atom of each set of equivalent atoms:
Sr  0.0000  0.0000  0.0000 (multiplicity 3)
Co  0.0000  0.0000  0.5000 (multiplicity 3)
O  0.0000  0.0000  0.1201 (multiplicity 6)

Total energy (eV/f.u.): -19.6
Total moment (μB/f.u.): 0.00